Entry 1:
Computed, not measured: a relaxed LiY4Ni crystal at the PBE-GGA level of DFT.

```
6
Lattice="0.000 4.453 4.453 4.453 0.000 4.453 4.453 4.453 0.000" Properties=species:S:1:pos:R:3 pbc="T T T"
Li 0.000 0.000 0.000
Y 3.349 3.349 3.349
Y 5.557 5.557 3.349
Y 5.557 3.349 5.557
Y 3.349 5.557 5.557
Ni 6.679 6.679 6.679
```

Computed properties:
* crystal system: cubic

***

Entry 2:
Computed, not measured: a relaxed Li2Y3Ni7 crystal at the PBE-GGA level of DFT.

```
12
Lattice="2.534 1.463 8.036 -2.534 1.463 8.036 0.000 -2.926 8.036" Properties=species:S:1:pos:R:3 pbc="T T T"
Li 0.000 0.000 3.988
Li 0.000 0.000 20.121
Y 0.000 0.000 8.707
Y 0.000 0.000 12.055
Y 0.000 0.000 15.402
Ni 0.000 0.000 0.000
Ni 0.000 -1.451 6.032
Ni -1.257 0.725 6.032
Ni -1.257 -0.725 18.077
Ni 1.257 0.725 6.032
Ni 1.257 -0.725 18.077
Ni 0.000 1.451 18.077
```

Computed properties:
* crystal system: trigonal

***

Entry 3:
Computed, not measured: a relaxed LiY2Ni crystal at the PBE-GGA level of DFT.

```
4
Lattice="4.887 0.000 0.000 0.000 4.887 0.000 0.000 0.000 3.574" Properties=species:S:1:pos:R:3 pbc="T T T"
Li 0.000 0.000 0.000
Y 0.000 2.443 1.787
Y 2.443 0.000 1.787
Ni 2.443 2.443 0.000
```

Computed properties:
* crystal system: tetragonal

***

Entry 4:
Computed, not measured: a relaxed Li2YNi2 crystal at the PBE-GGA level of DFT.

```
10
Lattice="7.074 0.000 0.000 0.000 7.074 0.000 0.000 0.000 3.015" Properties=species:S:1:pos:R:3 pbc="T T T"
Li 0.798 2.739 0.000
Li 2.739 6.277 0.000
Li 4.335 0.798 0.000
Li 6.277 4.335 0.000
Y 0.000 0.000 0.000
Y 3.537 3.537 0.000
Ni 1.299 4.836 1.507
Ni 2.238 1.299 1.507
Ni 4.836 5.775 1.507
Ni 5.775 2.238 1.507
```

Computed properties:
* crystal system: tetragonal

***

Entry 5:
Computed, not measured: a relaxed LiY2Ni crystal at the PBE-GGA level of DFT.

```
12
Lattice="3.945 0.000 0.000 -1.973 3.417 0.000 0.000 0.000 24.121" Properties=species:S:1:pos:R:3 pbc="T T T"
Li 0.000 0.000 0.000
Li 0.000 2.278 16.081
Li 1.973 1.139 8.040
Y 0.000 0.000 13.460
Y 0.000 0.000 18.596
Y 0.000 2.278 5.420
Y 0.000 2.278 10.556
Y 1.973 1.139 2.515
Y 1.973 1.139 21.501
Ni 0.000 0.000 3.957
Ni 0.000 2.278 20.038
Ni 1.973 1.139 11.998
```

Computed properties:
* crystal system: trigonal

***

Entry 6:
Computed, not measured: a relaxed LiY2Ni crystal at the PBE-GGA level of DFT.

```
16
Lattice="6.885 0.000 0.000 0.000 6.885 0.000 0.000 0.000 6.885" Properties=species:S:1:pos:R:3 pbc="T T T"
Li 0.000 0.000 0.000
Li 0.000 3.443 3.443
Li 3.443 0.000 3.443
Li 3.443 3.443 0.000
Y 0.000 0.000 3.443
Y 0.000 3.443 0.000
Y 1.721 1.721 1.721
Y 1.721 5.164 5.164
Y 3.443 0.000 0.000
Y 3.443 3.443 3.443
Y 5.164 1.721 5.164
Y 5.164 5.164 1.721
Ni 1.721 1.721 5.164
Ni 1.721 5.164 1.721
Ni 5.164 1.721 1.721
Ni 5.164 5.164 5.164
```

Computed properties:
* crystal system: cubic

***

Entry 7:
Computed, not measured: a relaxed LiY2Ni crystal at the PBE-GGA level of DFT.

```
8
Lattice="3.407 0.000 0.000 0.000 4.803 0.000 0.000 0.000 11.093" Properties=species:S:1:pos:R:3 pbc="T T T"
Li 0.000 0.000 0.000
Li 1.704 2.402 5.546
Y 0.000 0.000 4.323
Y 0.000 2.402 2.040
Y 1.704 0.000 7.587
Y 1.704 2.402 9.869
Ni 0.000 2.402 7.644
Ni 1.704 0.000 2.097
```

Computed properties:
* crystal system: orthorhombic

***

Entry 8:
Computed, not measured: a relaxed Li2YNi2 crystal at the PBE-GGA level of DFT.

```
10
Lattice="4.307 0.000 0.000 0.000 4.307 0.000 0.000 0.000 8.448" Properties=species:S:1:pos:R:3 pbc="T T T"
Li 0.000 0.000 1.162
Li 0.000 0.000 7.286
Li 2.153 2.153 3.062
Li 2.153 2.153 5.386
Y 0.000 0.000 4.224
Y 2.153 2.153 0.000
Ni 0.000 2.153 2.112
Ni 0.000 2.153 6.336
Ni 2.153 0.000 2.112
Ni 2.153 0.000 6.336
```

Computed properties:
* crystal system: tetragonal

***

Entry 9:
Computed, not measured: a relaxed LiYNi5 crystal at the PBE-GGA level of DFT.

```
28
Lattice="7.912 0.000 0.000 0.000 4.830 0.000 0.000 0.000 9.999" Properties=species:S:1:pos:R:3 pbc="T T T"
Li 1.065 1.207 1.444
Li 2.891 3.622 6.444
Li 5.021 1.207 3.556
Li 6.847 3.622 8.556
Y 1.922 3.622 9.404
Y 2.034 1.207 4.404
Y 5.878 3.622 5.596
Y 5.990 1.207 0.596
Ni 0.471 1.207 8.972
Ni 0.567 2.427 6.876
Ni 0.567 4.818 6.876
Ni 0.738 3.622 4.821
Ni 1.441 3.622 2.511
Ni 2.515 1.207 7.511
Ni 3.218 1.207 9.820
Ni 3.389 0.012 1.876
Ni 3.389 2.403 1.876
Ni 3.485 3.622 3.972
Ni 4.427 1.207 6.027
Ni 4.523 2.427 8.124
Ni 4.523 4.818 8.124
Ni 4.694 3.622 0.179
Ni 5.396 3.622 2.489
Ni 6.471 1.207 7.488
Ni 7.174 1.207 5.179
Ni 7.345 0.012 3.124
Ni 7.345 2.403 3.124
Ni 7.441 3.622 1.028
```

Computed properties:
* crystal system: orthorhombic

***

Entry 10:
Computed, not measured: a relaxed Li2YNi2 crystal at the PBE-GGA level of DFT.

```
10
Lattice="7.262 0.000 0.000 0.000 7.262 0.000 0.000 0.000 2.934" Properties=species:S:1:pos:R:3 pbc="T T T"
Li 0.930 2.701 0.000
Li 2.701 6.332 0.000
Li 4.561 0.930 0.000
Li 6.332 4.561 0.000
Y 0.000 0.000 1.467
Y 3.631 3.631 1.467
Ni 1.190 4.821 1.467
Ni 2.441 1.190 1.467
Ni 4.821 6.072 1.467
Ni 6.072 2.441 1.467
```

Computed properties:
* crystal system: tetragonal

***

Entry 11:
Computed, not measured: a relaxed LiY2Ni crystal at the PBE-GGA level of DFT.

```
4
Lattice="3.449 0.000 0.000 0.000 3.473 0.000 -0.009 0.000 7.598" Properties=species:S:1:pos:R:3 pbc="T T T"
Li 0.000 0.000 0.000
Y 1.723 1.737 2.188
Y 1.717 1.737 5.410
Ni -0.005 0.000 3.799
```

Computed properties:
* crystal system: monoclinic

***

Entry 12:
Computed, not measured: a relaxed LiY2Ni crystal at the PBE-GGA level of DFT.

```
8
Lattice="4.557 0.000 0.000 0.000 3.704 0.000 0.000 0.000 10.513" Properties=species:S:1:pos:R:3 pbc="T T T"
Li 0.000 0.000 0.000
Li 0.000 1.852 5.257
Y 0.000 0.000 7.479
Y 0.000 1.852 2.222
Y 2.278 0.000 4.519
Y 2.278 1.852 9.776
Ni 2.278 0.000 1.451
Ni 2.278 1.852 6.708
```

Computed properties:
* crystal system: orthorhombic

***

Entry 13:
Computed, not measured: a relaxed LiY8Ni2 crystal at the PBE-GGA level of DFT.

```
11
Lattice="4.218 -6.569 0.000 4.218 6.569 0.000 -1.320 0.000 5.490" Properties=species:S:1:pos:R:3 pbc="T T T"
Li 0.000 0.000 0.000
Y 0.959 1.703 3.223
Y 4.218 3.307 0.000
Y 0.959 -1.703 3.223
Y 3.018 0.000 1.083
Y 4.097 0.000 4.407
Y 6.157 1.703 2.267
Y 4.218 -3.307 0.000
Y 6.157 -1.703 2.267
Ni 3.558 2.588 2.745
Ni 3.558 -2.588 2.745
```

Computed properties:
* crystal system: monoclinic

***

Entry 14:
Computed, not measured: a relaxed Li2YNi4 crystal at the PBE-GGA level of DFT.

```
14
Lattice="4.659 0.000 0.000 0.000 6.441 0.000 0.000 0.000 6.463" Properties=species:S:1:pos:R:3 pbc="T T T"
Li 1.166 0.000 0.000
Li 1.164 3.221 3.231
Li 3.493 0.000 0.000
Li 3.495 3.221 3.231
Y 0.000 0.000 3.231
Y 2.329 3.221 0.000
Ni 0.000 2.000 1.224
Ni 0.000 2.000 5.239
Ni 0.000 4.441 1.224
Ni 0.000 4.441 5.239
Ni 2.329 1.220 2.007
Ni 2.329 1.220 4.456
Ni 2.329 5.221 2.007
Ni 2.329 5.221 4.456
```

Computed properties:
* crystal system: orthorhombic

***

Entry 15:
Computed, not measured: a relaxed LiY2Ni crystal at the PBE-GGA level of DFT.

```
4
Lattice="3.456 0.000 0.000 0.000 3.456 0.000 0.000 0.000 7.344" Properties=species:S:1:pos:R:3 pbc="T T T"
Li 0.000 0.000 0.000
Y 0.000 0.000 2.715
Y 1.728 1.728 5.458
Ni 1.728 1.728 1.115
```

Computed properties:
* crystal system: tetragonal

***

Entry 16:
Computed, not measured: a relaxed LiY2Ni crystal at the PBE-GGA level of DFT.

```
16
Lattice="7.747 0.000 0.000 0.000 7.747 0.000 0.000 0.000 6.441" Properties=species:S:1:pos:R:3 pbc="T T T"
Li 0.000 0.000 0.000
Li 0.000 3.873 1.610
Li 3.873 0.000 4.831
Li 3.873 3.873 3.220
Y 1.594 1.937 4.026
Y 1.937 5.468 5.636
Y 1.937 6.153 2.415
Y 2.279 1.937 0.805
Y 5.468 5.810 0.805
Y 5.810 1.594 2.415
Y 5.810 2.279 5.636
Y 6.153 5.810 4.026
Ni 0.000 0.000 3.220
Ni 0.000 3.873 4.831
Ni 3.873 0.000 1.610
Ni 3.873 3.873 0.000
```

Computed properties:
* crystal system: tetragonal

***

Entry 17:
Computed, not measured: a relaxed LiY2Ni crystal at the PBE-GGA level of DFT.

```
12
Lattice="4.022 0.000 0.000 -2.011 3.483 0.000 0.000 0.000 19.950" Properties=species:S:1:pos:R:3 pbc="T T T"
Li 0.000 0.000 0.000
Li 0.000 2.322 13.300
Li 2.011 1.161 6.650
Y 0.000 0.000 4.757
Y 0.000 0.000 8.498
Y 0.000 2.322 1.848
Y 0.000 2.322 18.057
Y 2.011 1.161 11.407
Y 2.011 1.161 15.148
Ni 0.000 0.000 13.187
Ni 0.000 2.322 6.537
Ni 2.011 1.161 19.837
```

Computed properties:
* crystal system: trigonal

***

Entry 18:
Computed, not measured: a relaxed LiY2Zn12Ni3 crystal at the PBE-GGA level of DFT.

```
18
Lattice="4.262 2.460 5.707 -4.262 2.460 5.707 0.000 -4.921 5.707" Properties=species:S:1:pos:R:3 pbc="T T T"
Li 0.000 0.000 0.000
Y 0.000 0.000 6.927
Y 0.000 0.000 10.194
Zn 0.000 -2.325 5.179
Zn -2.014 1.163 5.179
Zn -2.390 -1.380 9.065
Zn 0.000 -2.760 8.056
Zn -2.390 1.380 8.056
Zn -2.014 -1.163 11.942
Zn 2.014 1.163 5.179
Zn 2.390 -1.380 9.065
Zn 0.000 2.760 9.065
Zn 2.390 1.380 8.056
Zn 2.014 -1.163 11.942
Zn 0.000 2.325 11.942
Ni -4.262 0.000 8.561
Ni -2.131 1.230 2.854
Ni 2.131 1.230 2.854
```

Computed properties:
* crystal system: trigonal

***

Entry 19:
Computed, not measured: a relaxed Li2YZrNi crystal at the PBE-GGA level of DFT.

```
5
Lattice="4.741 0.000 0.000 0.000 4.741 0.000 0.000 0.000 5.168" Properties=species:S:1:pos:R:3 pbc="T T T"
Li 0.000 2.371 0.000
Li 2.371 0.000 0.000
Y 0.000 0.000 0.000
Zr 0.000 0.000 2.584
Ni 2.371 2.371 2.584
```

Computed properties:
* crystal system: tetragonal

***

Entry 20:
Computed, not measured: a relaxed LiZn2Ni crystal at the PBE-GGA level of DFT.

```
16
Lattice="5.886 0.000 0.000 0.000 5.886 0.000 0.000 0.000 5.886" Properties=species:S:1:pos:R:3 pbc="T T T"
Li 0.000 0.000 0.000
Li 0.000 2.943 2.943
Li 2.943 0.000 2.943
Li 2.943 2.943 0.000
Zn 1.471 1.471 1.471
Zn 1.471 1.471 4.414
Zn 1.471 4.414 1.471
Zn 1.471 4.414 4.414
Zn 4.414 1.471 1.471
Zn 4.414 1.471 4.414
Zn 4.414 4.414 1.471
Zn 4.414 4.414 4.414
Ni 0.000 0.000 2.943
Ni 0.000 2.943 0.000
Ni 2.943 0.000 0.000
Ni 2.943 2.943 2.943
```

Computed properties:
* crystal system: cubic

***

Entry 21:
Computed, not measured: a relaxed LiZnNi2 crystal at the PBE-GGA level of DFT.

```
8
Lattice="2.860 0.000 0.000 0.000 4.088 0.000 0.000 0.000 7.984" Properties=species:S:1:pos:R:3 pbc="T T T"
Li 0.000 0.000 0.000
Li 1.430 2.044 3.992
Zn 0.000 0.000 3.992
Zn 1.430 2.044 0.000
Ni 0.000 2.044 1.991
Ni 0.000 2.044 5.993
Ni 1.430 0.000 2.001
Ni 1.430 0.000 5.983
```

Computed properties:
* crystal system: orthorhombic

***

Entry 22:
Computed, not measured: a relaxed LiZn2Ni crystal at the PBE-GGA level of DFT.

```
4
Lattice="4.228 0.000 0.000 0.000 4.228 0.000 0.000 0.000 2.842" Properties=species:S:1:pos:R:3 pbc="T T T"
Li 0.000 0.000 0.000
Zn 0.000 2.114 1.421
Zn 2.114 0.000 1.421
Ni 2.114 2.114 0.000
```

Computed properties:
* crystal system: tetragonal

***

Entry 23:
Computed, not measured: a relaxed Li2Zn2Ni5 crystal at the PBE-GGA level of DFT.

```
9
Lattice="5.771 -2.036 0.000 5.771 2.036 0.000 -1.081 0.000 4.820" Properties=species:S:1:pos:R:3 pbc="T T T"
Li 2.005 0.000 0.022
Li 8.456 0.000 4.798
Zn 3.898 0.000 3.851
Zn 6.563 0.000 0.969
Ni -0.541 0.000 2.410
Ni 1.794 0.000 2.546
Ni 4.168 0.000 1.495
Ni 6.293 0.000 3.325
Ni 8.667 0.000 2.274
```

Computed properties:
* crystal system: monoclinic

***

Entry 24:
Computed, not measured: a relaxed Li12Zn7Ni crystal at the PBE-GGA level of DFT.

```
20
Lattice="5.385 3.109 3.125 -5.385 3.109 3.125 0.000 -6.218 3.125" Properties=species:S:1:pos:R:3 pbc="T T T"
Li 3.959 -0.644 6.249
Li -3.959 0.644 3.128
Li -0.007 -1.541 2.397
Li -1.331 0.776 2.397
Li 1.422 -3.751 3.128
Li -2.537 -3.107 6.249
Li 1.338 0.765 2.397
Li -1.338 -0.765 6.980
Li -1.422 3.751 6.249
Li 2.537 3.107 3.128
Li 1.331 -0.776 6.980
Li 0.007 1.541 6.980
Zn 0.000 0.000 0.000
Zn -2.164 -1.247 4.241
Zn -0.002 -2.498 5.135
Zn -2.162 1.251 5.135
Zn 2.162 -1.251 4.241
Zn 0.002 2.498 4.241
Zn 2.164 1.247 5.135
Ni 0.000 0.000 4.688
```

Computed properties:
* crystal system: trigonal

***

Values for E_form, meV/atom, ordered as above
725, -311, -116, 17, -52, 173, -52, -11, -210, 54, -155, -93, -35, -99, -17, 148, -17, 173, 1540, -244, -105, -214, -39, -122
Values for magnetization, μB/atom, ordered as above
0.006, 0.000, 0.000, 0.000, 0.000, 0.000, 0.000, 0.000, 0.165, 0.000, 0.000, 0.000, 0.000, 0.002, 0.000, 0.000, 0.001, 0.000, 0.000, 0.000, 0.000, 0.000, 0.000, 0.000